1.
# Ac3IrSO

Crystalline Ac3IrSO at its relaxed geometry (PBE, Alexandria via LeMat-Bulk).

a = 4.2248 Å, b = 9.0574 Å, c = 9.3236 Å
α = 100.92°, β = 90.00°, γ = 90.00°
Positions (direct):
S 0.7500 0.8401 0.7751
S 0.2500 0.1599 0.2249
Ac 0.2500 0.5726 0.8302
Ac 0.2500 0.1201 0.8584
Ac 0.7500 0.4274 0.1698
Ac 0.7500 0.1868 0.5152
Ac 0.7500 0.8799 0.1416
Ac 0.2500 0.8132 0.4848
Ir 0.7500 0.3442 0.8479
Ir 0.2500 0.6558 0.1521
O 0.7500 0.9169 0.4095
O 0.2500 0.0831 0.5905

Total magnetization ... 0.138 μB per cell
Formation energy without anion corrections ... -1.775 eV/atom

***

2.
# Ac2ScIrO6

Crystalline Ac2ScIrO6 at its relaxed geometry (PBE, Alexandria via LeMat-Bulk).

a = 5.7698 Å, b = 5.7728 Å, c = 8.1634 Å
α = 90.00°, β = 90.00°, γ = 90.00°
Positions (direct):
O 0.2493 0.5005 0.5000
O 0.5000 0.2502 0.7506
O 0.0000 0.7498 0.2506
O 0.7507 0.9993 0.5000
O 0.2493 0.9993 0.5000
O 0.7493 0.4995 0.0000
O 0.5000 0.2502 0.2494
O 0.2507 0.0007 0.0000
O 0.7493 0.0007 0.0000
O 0.0000 0.7498 0.7494
O 0.7507 0.5005 0.5000
O 0.2507 0.4995 0.0000
Ac 0.5000 0.7499 0.7500
Ac 0.0000 0.2501 0.7500
Ac 0.0000 0.2501 0.2500
Ac 0.5000 0.7499 0.2500
Sc 0.5000 0.2499 0.5000
Sc 0.0000 0.7501 0.0000
Ir 0.5000 0.2501 0.0000
Ir 0.0000 0.7499 0.5000

Total magnetization ... 0.000 μB per cell
Formation energy without anion corrections ... -2.691 eV/atom

***

3.
# AcSc2IrO8

Crystalline AcSc2IrO8 at its relaxed geometry (PBE, Alexandria via LeMat-Bulk).

a = 4.9075 Å, b = 4.9050 Å, c = 6.8456 Å
α = 90.00°, β = 90.00°, γ = 88.32°
Last column: magnetic moment on the atom in μB.
Positions (direct):
O 0.7225 0.7239 0.0000  0.05
O 0.8010 0.2006 0.8008  0.05
O 0.8010 0.2006 0.1992  0.05
O 0.1990 0.7994 0.1992  0.05
O 0.2775 0.2761 0.0000  0.05
O 0.6668 0.6690 0.5000  0.02
O 0.3332 0.3310 0.5000  0.02
O 0.1990 0.7994 0.8008  0.05
Sc 0.5000 0.5000 0.2493  0.01
Sc 0.5000 0.5000 0.7507  0.01
Ir 0.0000 0.0000 0.0000  0.46
Ac 0.0000 0.0000 0.5000  0.01

Total magnetization ... 0.959 μB per cell
Formation energy without anion corrections ... -2.268 eV/atom

***

4.
# Ac2ScIr3O12

Crystalline Ac2ScIr3O12 at its relaxed geometry (PBE, Alexandria via LeMat-Bulk).

a = 6.7607 Å, b = 6.7607 Å, c = 6.7607 Å
α = 64.04°, β = 64.04°, γ = 64.04°
Positions (direct):
O 0.8713 0.3909 0.8713
O 0.3044 0.3044 0.8679
O 0.8713 0.8713 0.3909
O 0.1321 0.6956 0.6956
O 0.6091 0.1287 0.1287
O 0.6956 0.1321 0.6956
O 0.8679 0.3044 0.3044
O 0.1287 0.1287 0.6091
O 0.1287 0.6091 0.1287
O 0.3909 0.8713 0.8713
O 0.3044 0.8679 0.3044
O 0.6956 0.6956 0.1321
Sc 0.0000 0.0000 0.0000
Ir 0.0000 0.0000 0.5000
Ir 0.0000 0.5000 0.0000
Ir 0.5000 0.0000 0.0000
Ac 0.3824 0.3824 0.3824
Ac 0.6176 0.6176 0.6176

Total magnetization ... 0.000 μB per cell
Formation energy without anion corrections ... -1.712 eV/atom